Sm3ZnPd3: optimized geometry, GGA-PBE.

Cell and atoms, written as extended XYZ:
```
14
Lattice="4.313 0.000 0.000 -2.156 5.231 0.000 0.000 0.000 13.966" Properties=species:S:1:pos:R:3 pbc="T T T"
Sm 0.000 4.996 10.475
Sm 0.000 2.123 8.436
Sm 0.000 2.123 12.513
Sm 2.156 3.108 5.530
Sm 2.156 3.108 1.453
Sm 2.156 0.235 3.492
Pd 2.156 4.352 8.232
Pd 2.156 2.676 10.475
Pd 0.000 0.879 1.249
Pd 0.000 0.879 5.734
Pd 0.000 2.554 3.492
Pd 2.156 4.352 12.717
Zn 2.156 0.000 6.983
Zn 2.156 0.000 0.000
```

Output
The value obtained for the total energy is -5.181 eV per atom. Its space group is Cmcm. As for the formation energy: -0.751 eV/atom.